Record 1
This record from the Alexandria database describes a relaxed Al2ZnCo crystal. The functional is PBE.

Unit cell a=2.7908 b=2.7908 c=7.2413 alpha=90.00 beta=90.00 gamma=90.00
With the nearest neighbours (Å) after each atom.
Atoms (fractional coordinates):
1 Al 0.0000 0.0000 0.0000  8 Al 2.79-2.92, 4 Zn 2.86
2 Al 0.5000 0.5000 0.2969  4 Co 2.43
3 Zn 0.5000 0.5000 0.7138  4 Co 2.54, 4 Zn 2.79
4 Co 0.0000 0.0000 0.4929  4 Al 2.43, 4 Zn 2.54

ΔH_f (0 K)	-45	kJ/mol of formula units



Record 2
This record from the Alexandria database describes a relaxed YSc2Sn crystal. The functional is PBE.

Unit cell a=4.6264 b=4.6264 c=4.6178 alpha=90.00 beta=90.00 gamma=90.00
With the nearest neighbours (Å) after each atom.
Atoms (fractional coordinates):
1 Y 0.0000 0.0000 0.0000  8 Sc 3.27, 4 Sn 3.27
2 Sc 0.0000 0.5000 0.5000  4 Sn 3.27, 4 Y 3.27, 4 Sc 3.27
3 Sc 0.5000 0.0000 0.5000  4 Sn 3.27, 4 Y 3.27, 4 Sc 3.27
4 Sn 0.5000 0.5000 0.0000  8 Sc 3.27, 4 Y 3.27

ΔH_f (0 K)	-158	kJ/mol of formula units



Record 3
This record from the Alexandria database describes a relaxed CaLaTh crystal. The functional is PBE.

Unit cell a=3.6711 b=3.6711 c=9.3084 alpha=90.00 beta=90.00 gamma=120.00
With the nearest neighbours (Å) after each atom.
Atoms (fractional coordinates):
1 Ca 0.0000 0.0000 0.0000  6 Ca 3.67, 3 Th 3.74, 3 La 3.98
2 La 0.6667 0.3333 0.3624  3 Th 3.56, 6 La 3.67, 3 Ca 3.98
3 Th 0.3333 0.6667 0.6695  3 La 3.56, 6 Th 3.67, 3 Ca 3.74

ΔH_f (0 K)	27	kJ/mol of formula units
E above lowest polymorph	67.7	meV per atom



Question: Which value of ΔH_f (0 K) does entry 1 give?
Answer: -45 kJ/mol of formula units



What did the third record say?
This record from the Alexandria database describes a relaxed CaLaTh crystal. The functional is PBE.

Unit cell a=3.6711 b=3.6711 c=9.3084 alpha=90.00 beta=90.00 gamma=120.00
With the nearest neighbours (Å) after each atom.
Atoms (fractional coordinates):
1 Ca 0.0000 0.0000 0.0000  6 Ca 3.67, 3 Th 3.74, 3 La 3.98
2 La 0.6667 0.3333 0.3624  3 Th 3.56, 6 La 3.67, 3 Ca 3.98
3 Th 0.3333 0.6667 0.6695  3 La 3.56, 6 Th 3.67, 3 Ca 3.74

ΔH_f (0 K)	27	kJ/mol of formula units
E above lowest polymorph	67.7	meV per atom



Question: Which formula does entry 2 have?
Answer: YSc2Sn



Question: Which formula does entry 3 have?
Answer: CaLaTh